[1]
Ba3Zn2Pd4: relaxed, PBE.

Results
- M_tot (μB per formula unit) = 0.00
- SG = C2/m
- ΔE_f (eV per atom) = -0.5133
- excess energy over the best structure of this formula in the dataset (kJ/mol of atoms) = 0.0
- VASP energy (eV/f.u.) = -33.71

abc: 6.446 6.446 9.440
angles: 109.71 109.71 41.00
Positions (direct):
Ba 0.000 0.000 0.000
Ba 0.378 0.378 0.311
Ba 0.622 0.622 0.689
Zn 0.337 0.337 0.698
Zn 0.663 0.663 0.302
Pd 0.160 0.160 0.431
Pd 0.277 0.277 0.933
Pd 0.723 0.723 0.067
Pd 0.840 0.840 0.569


[2]
BaZn4Pd2: relaxed, PBE.

Results
- M_tot (μB per formula unit) = 0.00
- SG = Cmmm
- ΔE_f (eV per atom) = -0.3505
- VASP energy (eV/f.u.) = -19.86

abc: 4.524 13.977 4.514
angles: 90.00 90.00 90.00
Positions (direct):
Ba 0.000 0.000 0.000
Ba 0.500 0.500 0.000
Zn 0.000 0.197 0.500
Zn 0.000 0.308 0.000
Zn 0.000 0.692 0.000
Zn 0.000 0.803 0.500
Zn 0.500 0.192 0.000
Zn 0.500 0.303 0.500
Zn 0.500 0.697 0.500
Zn 0.500 0.808 0.000
Pd 0.000 0.396 0.500
Pd 0.000 0.604 0.500
Pd 0.500 0.104 0.500
Pd 0.500 0.896 0.500


[3]
Ba3Zn3Pd2: relaxed, PBE.

Results
- M_tot (μB per formula unit) = 0.00
- SG = Pnma
- ΔE_f (eV per atom) = -0.4042
- excess energy over the best structure of this formula in the dataset (kJ/mol of atoms) = 1.7
- VASP energy (eV/f.u.) = -23.21

abc: 8.645 16.403 6.360
angles: 90.00 90.00 90.00
Positions (direct):
Ba 0.045 0.104 0.123
Ba 0.045 0.396 0.123
Ba 0.190 0.250 0.618
Ba 0.310 0.750 0.118
Ba 0.455 0.604 0.623
Ba 0.455 0.896 0.623
Ba 0.545 0.104 0.377
Ba 0.545 0.396 0.377
Ba 0.690 0.250 0.882
Ba 0.810 0.750 0.382
Ba 0.955 0.604 0.877
Ba 0.955 0.896 0.877
Zn 0.159 0.750 0.585
Zn 0.169 0.039 0.610
Zn 0.169 0.461 0.610
Zn 0.331 0.539 0.110
Zn 0.331 0.961 0.110
Zn 0.341 0.250 0.085
Zn 0.659 0.750 0.915
Zn 0.669 0.039 0.890
Zn 0.669 0.461 0.890
Zn 0.831 0.539 0.390
Zn 0.831 0.961 0.390
Zn 0.841 0.250 0.415
Pd 0.118 0.597 0.381
Pd 0.118 0.903 0.381
Pd 0.382 0.097 0.881
Pd 0.382 0.403 0.881
Pd 0.618 0.597 0.119
Pd 0.618 0.903 0.119
Pd 0.882 0.097 0.619
Pd 0.882 0.403 0.619


[4]
Ba4ZnPd2: relaxed, PBE.

Results
- M_tot (μB per formula unit) = 0.00
- SG = Cm
- ΔE_f (eV per atom) = -0.3696
- VASP energy (eV/f.u.) = -21.94

abc: 8.186 8.186 8.868
angles: 105.16 105.16 72.94
Positions (direct):
Ba 0.000 0.000 0.000
Ba 0.004 0.004 0.509
Ba 0.456 0.981 0.861
Ba 0.474 0.998 0.369
Ba 0.484 0.484 0.990
Ba 0.495 0.495 0.508
Ba 0.981 0.456 0.861
Ba 0.998 0.474 0.369
Zn 0.782 0.782 0.142
Zn 0.802 0.802 0.655
Pd 0.158 0.689 0.714
Pd 0.275 0.275 0.138
Pd 0.288 0.288 0.645
Pd 0.689 0.158 0.714


[5]
Ba8ZnPd2: relaxed, PBE.

Results
- M_tot (μB per formula unit) = 0.00
- SG = P-3
- ΔE_f (eV per atom) = -0.0835
- VASP energy (eV/f.u.) = -27.96

abc: 10.185 10.185 6.780
angles: 90.00 90.00 120.00
Positions (direct):
Ba 0.162 0.325 0.246
Ba 0.163 0.838 0.246
Ba 0.325 0.163 0.754
Ba 0.333 0.667 0.748
Ba 0.667 0.333 0.252
Ba 0.675 0.837 0.246
Ba 0.837 0.162 0.754
Ba 0.838 0.675 0.754
Zn 0.000 0.000 0.500
Pd 0.333 0.667 0.252
Pd 0.667 0.333 0.748


[6]
Ba2ZnPd3: relaxed, PBE.

Results
- M_tot (μB per formula unit) = 0.00
- SG = Immm
- ΔE_f (eV per atom) = -0.2931
- excess energy over the best structure of this formula in the dataset (kJ/mol of atoms) = 20.0
- VASP energy (eV/f.u.) = -22.46

abc: 4.628 5.797 11.853
angles: 90.00 90.00 90.00
Positions (direct):
Ba 0.000 0.000 0.181
Ba 0.000 0.000 0.819
Ba 0.500 0.500 0.319
Ba 0.500 0.500 0.681
Zn 0.000 0.000 0.500
Zn 0.500 0.500 0.000
Pd 0.000 0.500 0.111
Pd 0.000 0.500 0.500
Pd 0.000 0.500 0.889
Pd 0.500 0.000 0.000
Pd 0.500 0.000 0.389
Pd 0.500 0.000 0.611


[7]
Ba2ZnPd: relaxed, PBE.

Results
- M_tot (μB per formula unit) = 0.00
- SG = Cm
- ΔE_f (eV per atom) = -0.4363
- VASP energy (eV/f.u.) = -12.06

abc: 7.956 4.591 8.788
angles: 90.00 107.63 90.00
Positions (direct):
Ba 0.000 0.000 0.000
Ba 0.171 0.000 0.511
Ba 0.500 0.500 0.000
Ba 0.671 0.500 0.511
Zn 0.419 0.000 0.255
Zn 0.919 0.500 0.255
Pd 0.253 0.500 0.257
Pd 0.753 0.000 0.257


[8]
BaZnPd4: relaxed, PBE.

Results
- M_tot (μB per formula unit) = 0.00
- SG = Pmma
- ΔE_f (eV per atom) = -0.3632
- excess energy over the best structure of this formula in the dataset (kJ/mol of atoms) = 0.0
- VASP energy (eV/f.u.) = -26.15

abc: 7.820 4.126 7.340
angles: 90.00 90.00 90.00
Positions (direct):
Ba 0.250 0.000 0.141
Ba 0.750 0.000 0.859
Zn 0.250 0.000 0.709
Zn 0.750 0.000 0.291
Pd 0.000 0.000 0.500
Pd 0.062 0.500 0.793
Pd 0.250 0.500 0.468
Pd 0.438 0.500 0.793
Pd 0.500 0.000 0.500
Pd 0.562 0.500 0.207
Pd 0.750 0.500 0.532
Pd 0.938 0.500 0.207


[9]
BaZn12Pd6: relaxed, PBE.

Results
- M_tot (μB per formula unit) = 0.00
- SG = R-3m
- ΔE_f (eV per atom) = -0.3424
- VASP energy (eV/f.u.) = -54.87

abc: 7.258 7.258 7.258
angles: 104.50 104.50 104.50
Positions (direct):
Ba 0.000 0.000 0.000
Zn 0.110 0.404 0.404
Zn 0.114 0.500 0.886
Zn 0.114 0.886 0.500
Zn 0.404 0.110 0.404
Zn 0.404 0.404 0.110
Zn 0.500 0.114 0.886
Zn 0.500 0.886 0.114
Zn 0.596 0.596 0.890
Zn 0.596 0.890 0.596
Zn 0.886 0.114 0.500
Zn 0.886 0.500 0.114
Zn 0.890 0.596 0.596
Pd 0.277 0.277 0.683
Pd 0.277 0.683 0.277
Pd 0.317 0.723 0.723
Pd 0.683 0.277 0.277
Pd 0.723 0.317 0.723
Pd 0.723 0.723 0.317


[10]
Ba2Zn4Pd: relaxed, PBE.

Results
- M_tot (μB per formula unit) = 0.00
- SG = I4/mmm
- ΔE_f (eV per atom) = -0.2113
- VASP energy (eV/f.u.) = -15.61

abc: 4.947 4.947 16.924
angles: 90.00 90.00 90.00
Positions (direct):
Ba 0.000 0.000 0.147
Ba 0.000 0.000 0.853
Ba 0.500 0.500 0.353
Ba 0.500 0.500 0.647
Zn 0.000 0.000 0.353
Zn 0.000 0.000 0.647
Zn 0.000 0.500 0.000
Zn 0.000 0.500 0.500
Zn 0.500 0.000 0.000
Zn 0.500 0.000 0.500
Zn 0.500 0.500 0.147
Zn 0.500 0.500 0.853
Pd 0.000 0.000 0.500
Pd 0.500 0.500 0.000


[11]
Ba6ZnPd2: relaxed, PBE.

Results
- M_tot (μB per formula unit) = 0.00
- SG = P-31m
- ΔE_f (eV per atom) = -0.3040
- VASP energy (eV/f.u.) = -25.93

abc: 8.080 8.080 7.653
angles: 90.00 90.00 120.00
Positions (direct):
Ba 0.000 0.345 0.235
Ba 0.000 0.655 0.765
Ba 0.345 0.000 0.235
Ba 0.345 0.345 0.765
Ba 0.655 0.000 0.765
Ba 0.655 0.655 0.235
Zn 0.000 0.000 0.500
Pd 0.333 0.667 0.000
Pd 0.667 0.333 0.000


[12]
Ba2Zn2Pd3: relaxed, PBE.

Results
- M_tot (μB per formula unit) = 0.00
- SG = C2/m
- ΔE_f (eV per atom) = -0.4612
- VASP energy (eV/f.u.) = -25.20

abc: 11.908 4.302 7.509
angles: 90.00 118.49 90.00
Positions (direct):
Ba 0.141 0.000 0.249
Ba 0.359 0.500 0.751
Ba 0.641 0.500 0.249
Ba 0.859 0.000 0.751
Zn 0.122 0.000 0.715
Zn 0.378 0.500 0.285
Zn 0.622 0.500 0.715
Zn 0.878 0.000 0.285
Pd 0.000 0.500 0.500
Pd 0.155 0.500 0.931
Pd 0.345 0.000 0.069
Pd 0.500 0.000 0.500
Pd 0.655 0.000 0.931
Pd 0.845 0.500 0.069


[13]
BaZn6Pd: relaxed, PBE.

Results
- M_tot (μB per formula unit) = 0.00
- SG = P4/mmm
- ΔE_f (eV per atom) = -0.2128
- VASP energy (eV/f.u.) = -16.46

abc: 4.526 4.526 8.064
angles: 90.00 90.00 90.00
Positions (direct):
Ba 0.000 0.000 0.000
Zn 0.000 0.500 0.336
Zn 0.000 0.500 0.664
Zn 0.500 0.000 0.336
Zn 0.500 0.000 0.664
Zn 0.500 0.500 0.166
Zn 0.500 0.500 0.834
Pd 0.000 0.000 0.500


[14]
Ba6ZnPd3: relaxed, PBE.

Results
- M_tot (μB per formula unit) = 0.00
- SG = P2_1/m
- ΔE_f (eV per atom) = -0.3602
- VASP energy (eV/f.u.) = -31.99

abc: 11.738 4.584 16.218
angles: 90.00 110.80 90.00
Positions (direct):
Ba 0.016 0.250 0.114
Ba 0.054 0.750 0.404
Ba 0.250 0.250 0.821
Ba 0.331 0.250 0.589
Ba 0.348 0.250 0.333
Ba 0.362 0.750 0.085
Ba 0.638 0.250 0.915
Ba 0.652 0.750 0.667
Ba 0.669 0.750 0.411
Ba 0.750 0.750 0.179
Ba 0.946 0.250 0.596
Ba 0.984 0.750 0.886
Zn 0.415 0.750 0.759
Zn 0.585 0.250 0.241
Pd 0.170 0.250 0.989
Pd 0.177 0.750 0.658
Pd 0.419 0.750 0.477
Pd 0.581 0.250 0.523
Pd 0.823 0.250 0.342
Pd 0.830 0.750 0.011


[15]
BaZn3Pd3: relaxed, PBE.

Results
- M_tot (μB per formula unit) = 0.00
- SG = Pm-3n
- ΔE_f (eV per atom) = -0.2751
- excess energy over the best structure of this formula in the dataset (kJ/mol of atoms) = 4.5
- VASP energy (eV/f.u.) = -23.25

abc: 6.953 6.953 6.953
angles: 90.00 90.00 90.00
Positions (direct):
Ba 0.000 0.000 0.000
Ba 0.500 0.500 0.500
Zn 0.000 0.250 0.500
Zn 0.000 0.750 0.500
Zn 0.250 0.500 0.000
Zn 0.500 0.000 0.250
Zn 0.500 0.000 0.750
Zn 0.750 0.500 0.000
Pd 0.000 0.500 0.250
Pd 0.000 0.500 0.750
Pd 0.250 0.000 0.500
Pd 0.500 0.250 0.000
Pd 0.500 0.750 0.000
Pd 0.750 0.000 0.500


[16]
BaZn2Pd: relaxed, PBE.

Results
- M_tot (μB per formula unit) = 0.00
- SG = Fm-3m
- ΔE_f (eV per atom) = -0.1090
- VASP energy (eV/f.u.) = -10.10

abc: 7.219 7.219 7.219
angles: 90.00 90.00 90.00
Positions (direct):
Ba 0.000 0.000 0.000
Ba 0.000 0.500 0.500
Ba 0.500 0.000 0.500
Ba 0.500 0.500 0.000
Zn 0.250 0.250 0.250
Zn 0.250 0.250 0.750
Zn 0.250 0.750 0.250
Zn 0.250 0.750 0.750
Zn 0.750 0.250 0.250
Zn 0.750 0.250 0.750
Zn 0.750 0.750 0.250
Zn 0.750 0.750 0.750
Pd 0.000 0.000 0.500
Pd 0.000 0.500 0.000
Pd 0.500 0.000 0.000
Pd 0.500 0.500 0.500


[17]
Ba2Zn3Pd2: relaxed, PBE.

Results
- M_tot (μB per formula unit) = 0.00
- SG = C2/m
- ΔE_f (eV per atom) = -0.4514
- VASP energy (eV/f.u.) = -21.21

abc: 11.590 4.229 7.896
angles: 90.00 118.20 90.00
Positions (direct):
Ba 0.134 0.000 0.257
Ba 0.366 0.500 0.743
Ba 0.634 0.500 0.257
Ba 0.866 0.000 0.743
Zn 0.000 0.500 0.500
Zn 0.162 0.500 0.932
Zn 0.338 0.000 0.068
Zn 0.500 0.000 0.500
Zn 0.662 0.000 0.932
Zn 0.838 0.500 0.068
Pd 0.125 0.000 0.702
Pd 0.375 0.500 0.298
Pd 0.625 0.500 0.702
Pd 0.875 0.000 0.298


[18]
Ba3Zn4Pd4: relaxed, PBE.

Results
- M_tot (μB per formula unit) = 0.00
- SG = Immm
- ΔE_f (eV per atom) = -0.3870
- excess energy over the best structure of this formula in the dataset (kJ/mol of atoms) = 8.9
- VASP energy (eV/f.u.) = -35.89

abc: 8.922 8.922 8.922
angles: 150.04 131.43 58.12
Positions (direct):
Ba 0.000 0.000 0.000
Ba 0.355 0.855 0.500
Ba 0.645 0.145 0.500
Zn 0.208 0.208 0.000
Zn 0.320 0.500 0.820
Zn 0.680 0.500 0.180
Zn 0.792 0.792 0.000
Pd 0.029 0.342 0.687
Pd 0.344 0.658 0.687
Pd 0.656 0.342 0.313
Pd 0.971 0.658 0.313


[19]
Ba4Zn3Pd5: relaxed, PBE.

Results
- M_tot (μB per formula unit) = 0.00
- SG = C2/m
- ΔE_f (eV per atom) = -0.4110
- VASP energy (eV/f.u.) = -42.41

abc: 8.122 8.122 10.675
angles: 115.62 115.62 34.55
Positions (direct):
Ba 0.054 0.054 0.354
Ba 0.264 0.264 0.778
Ba 0.736 0.736 0.222
Ba 0.946 0.946 0.646
Zn 0.000 0.000 0.000
Zn 0.406 0.406 0.141
Zn 0.594 0.594 0.859
Pd 0.280 0.280 0.473
Pd 0.414 0.414 0.379
Pd 0.500 0.500 0.000
Pd 0.586 0.586 0.621
Pd 0.720 0.720 0.527


[20]
BaZn2Pd2: relaxed, PBE.

Results
- M_tot (μB per formula unit) = 0.00
- SG = P4/mbm
- ΔE_f (eV per atom) = -0.3376
- excess energy over the best structure of this formula in the dataset (kJ/mol of atoms) = 17.3
- VASP energy (eV/f.u.) = -16.54

abc: 8.000 8.000 3.057
angles: 90.00 90.00 90.00
Positions (direct):
Ba 0.000 0.000 0.000
Ba 0.500 0.500 0.000
Zn 0.123 0.377 0.500
Zn 0.377 0.877 0.500
Zn 0.623 0.123 0.500
Zn 0.877 0.623 0.500
Pd 0.161 0.661 0.000
Pd 0.339 0.161 0.000
Pd 0.661 0.839 0.000
Pd 0.839 0.339 0.000